First-principles (PBE) data for a geometry-optimized SmDy2ErAs4 structure, as listed in Alexandria.

a b c (Å): 7.159 4.136 7.160
angles (deg): 90.00 109.47 90.00
Space group P2/m (No. 10)
Symmetry-distinct sites (fractional):
Sm 0.000 0.000 0.000 (multiplicity 1)
Dy 0.000 0.500 0.500 (multiplicity 1)
Dy 0.500 0.000 0.500 (multiplicity 1)
Er 0.500 0.500 0.000 (multiplicity 1)
As 0.254 0.000 0.750 (multiplicity 2)
As 0.255 0.500 0.253 (multiplicity 2)

Properties
ΔE_f = -12.21 eV per formula unit
Calculated density = 7.83 g/cm³
VASP energy = -49.3 eV/cell